[1]
Density functional theory data (GGA-PBE) for a relaxed LaPr2S4 crystal.

The structure in POSCAR format:
```
LaPr2S4
1.0
-2.494 3.150 0.196
-2.039 -3.834 -5.614
-8.400 -7.145 7.932
Pr S La
4 8 2
Cartesian
-8.460 -4.163 0.525
-4.474 -3.666 1.989
-11.503 -6.751 3.398
-1.431 -1.078 -0.884
-10.654 -5.920 0.832
-5.447 -1.998 4.064
-6.711 -5.468 2.463
-1.247 1.575 0.098
-6.222 -2.362 0.051
-8.843 -7.281 4.476
-2.279 -1.910 1.682
-4.091 -0.548 -1.962
-8.360 -4.343 4.682
-4.573 -3.487 -2.168
```

Uncorrected formation energy: -2.0801 eV/atom
N(E_F): 4.04 states/eV per cell
Symmetry: Cmcm (63)

[2]
Density functional theory data (GGA-PBE) for a relaxed La6PrS8 crystal.

The structure in POSCAR format:
```
La6PrS8
1.0
7.186 0.000 4.149
2.395 6.775 4.149
0.000 0.000 8.298
S La Pr
8 6 1
Cartesian
6.005 1.671 10.400
2.363 1.671 8.298
3.577 5.104 10.400
3.577 5.104 6.195
7.219 5.104 8.298
7.186 5.081 12.447
2.395 1.694 4.149
6.005 1.671 6.195
1.198 3.388 2.074
3.593 0.000 2.074
4.791 3.388 4.149
1.198 3.388 6.223
0.000 0.000 4.149
3.593 0.000 6.223
0.000 0.000 0.000
```

Uncorrected formation energy: -2.1432 eV/atom
N(E_F): 8.25 states/eV per cell
Symmetry: Fm-3m (225)

[3]
Density functional theory data (GGA-PBE) for a relaxed La3PrS6 crystal.

The structure in POSCAR format:
```
La3PrS6
1.0
-4.122 2.024 -7.100
-2.943 -7.920 -0.321
-6.561 2.451 4.737
S La Pr
12 6 2
Cartesian
-5.700 0.687 -0.394
-6.446 -3.319 -6.349
-4.453 -6.358 -2.178
-4.967 -2.871 0.450
-9.173 2.913 -0.506
-7.926 -4.132 -2.290
-9.047 -1.775 0.375
-4.579 -1.670 -3.059
-7.180 -0.126 3.665
-8.659 -0.573 -3.135
-7.604 -5.465 2.280
-6.022 2.020 -4.965
-8.896 -3.001 -4.762
-4.730 -0.443 2.078
-4.170 1.179 -2.847
-10.466 0.340 -1.078
-9.456 -4.624 0.163
-3.160 -3.785 -1.606
-6.813 -1.722 -1.342
0.000 0.000 0.000
```

Uncorrected formation energy: -2.1309 eV/atom
N(E_F): 0.00 states/eV per cell
Symmetry: R-3 (148)

Q: uncorrected formation energy of number 2 (La6PrS8)?
A: -2.1432 eV/atom

Please write out number 3 again, unchanged.
Density functional theory data (GGA-PBE) for a relaxed La3PrS6 crystal.

The structure in POSCAR format:
```
La3PrS6
1.0
-4.122 2.024 -7.100
-2.943 -7.920 -0.321
-6.561 2.451 4.737
S La Pr
12 6 2
Cartesian
-5.700 0.687 -0.394
-6.446 -3.319 -6.349
-4.453 -6.358 -2.178
-4.967 -2.871 0.450
-9.173 2.913 -0.506
-7.926 -4.132 -2.290
-9.047 -1.775 0.375
-4.579 -1.670 -3.059
-7.180 -0.126 3.665
-8.659 -0.573 -3.135
-7.604 -5.465 2.280
-6.022 2.020 -4.965
-8.896 -3.001 -4.762
-4.730 -0.443 2.078
-4.170 1.179 -2.847
-10.466 0.340 -1.078
-9.456 -4.624 0.163
-3.160 -3.785 -1.606
-6.813 -1.722 -1.342
0.000 0.000 0.000
```

Uncorrected formation energy: -2.1309 eV/atom
N(E_F): 0.00 states/eV per cell
Symmetry: R-3 (148)